The following is a DFT calculation (PBE) of crystalline BaSrTa at its relaxed geometry.

Unit cell a=5.786 b=5.786 c=5.786 alpha=60.00 beta=60.00 gamma=60.00
Sites, in units of the cell vectors:
Ba 0.000 0.000 0.000
Sr 0.500 0.500 0.500
Ta 0.750 0.750 0.750

Values from the calculation:
energy of formation from the pure elements = 1393.0 meV per atom